(1)
Density functional theory data (PBE) for a geometry-optimized In2CoS2 structure.

## Properties
As for the calculated density: 5.2 g/cm³. The calculation puts the total DFT energy (no corrections) at -38.1 eV for the cell shown. For the magnetization, the calculation gives 1.9 μB/f.u. The calculated volume is 22.6 Å³ per atom.

a b c (Å): 5.276 5.276 8.105
angles (deg): 90.00 90.00 90.00
Space group I4/mmm (No. 139)
Inequivalent atoms, fractional coordinates:
In (0.000, 0.000, 0.170) [4 per cell]
Co (0.000, 0.000, 0.500) [2 per cell]
S (0.000, 0.500, 0.250) [4 per cell]

***

(2)
Density functional theory data (PBE) for a geometry-optimized TcSbHSeF structure.

## Properties
As for the calculated density: 6.6 g/cm³. The calculation puts the total DFT energy (no corrections) at -25.5 eV for the cell shown. For the magnetization, the calculation gives 0.0 μB/f.u. The calculated volume is 16.0 Å³ per atom.

a b c (Å): 3.1429 3.1429 9.3270
angles (deg): 90.00 90.00 120.00
Space group P3m1 (No. 156)
Inequivalent atoms, fractional coordinates:
Tc (0.0000, 0.0000, 0.0000) [1 per cell]
Sb (0.0000, 0.0000, 0.6762) [1 per cell]
H (0.6667, 0.3333, 0.9106) [1 per cell]
Se (0.6667, 0.3333, 0.1801) [1 per cell]
F (0.0000, 0.0000, 0.4619) [1 per cell]

***

Which of these has the highest calculated density?
TcSbHSeF

***

Which value of total DFT energy (no corrections) does entry 1 give?
-38.1 eV for the cell shown

***

Which formula does entry 1 have?
In2CoS2